# 1
VASP calculation (PBE) on a relaxed structure of KAuBr4.

Cell: 6.8162 9.6141 13.0510 Å, 82.05 90.00 90.00°
Atoms (fractional coordinates):
K 0.9394 0.2099 0.3155
K 0.5606 0.2099 0.8155
K 0.0606 0.7901 0.6845
K 0.4394 0.7901 0.1845
Au 0.0000 0.5000 0.0000
Au 0.5000 0.5000 0.5000
Au 0.0000 0.0000 0.0000
Au 0.5000 0.0000 0.5000
Br 0.2632 0.6628 0.9278
Br 0.2368 0.6628 0.4278
Br 0.7368 0.3372 0.0722
Br 0.7632 0.3372 0.5722
Br 0.7941 0.8708 0.4529
Br 0.2941 0.1292 0.0471
Br 0.2059 0.1292 0.5471
Br 0.7059 0.8708 0.9529
Br 0.4379 0.0861 0.3146
Br 0.9379 0.9139 0.1854
Br 0.5621 0.9139 0.6854
Br 0.0621 0.0861 0.8146
Br 0.6391 0.4986 0.3250
Br 0.1391 0.5014 0.1750
Br 0.3609 0.5014 0.6750
Br 0.8609 0.4986 0.8250

As for the space group: No. 14. The uncorrected formation energy is -0.719 eV per atom.

=====

# 2
VASP calculation (PBE) on a relaxed structure of LiPrAlCd.

Cell: 4.9782 4.9782 4.9782 Å, 60.00 60.00 60.00°
Atoms (fractional coordinates):
Pr 0.2500 0.2500 0.2500
Li 0.0000 0.0000 0.0000
Al 0.5000 0.5000 0.5000
Cd 0.7500 0.7500 0.7500

As for the space group: No. 216. As for the energy of formation: -271 meV per atom.

=====

Number 1: VASP energy -2.5638 eV per atom, M_tot 0.00 Bohr magnetons per cell. Number 2: VASP energy -3.1084 eV per atom, M_tot 0.00 Bohr magnetons per cell.